# 1
The following is a PBE calculation of crystalline DyYGe2Ir at its relaxed geometry, from the Open Quantum Materials Database.

Lattice parameters (Å, degrees): 5.6949 5.6949 10.3246 114.75 114.75 44.40
Closest atoms and distances in Å follow each position.
Fractional positions:
Dy 0.1901 0.1901 0.1184  2 Ir 3.00, 6 Ge 3.03-3.12
Dy 0.8099 0.8099 0.8816  2 Ir 3.00, 6 Ge 3.03-3.12
Y 0.0082 0.0082 0.3297  4 Ir 2.98-3.32, 7 Ge 3.00-3.27
Y 0.9918 0.9918 0.6703  4 Ir 2.98-3.32, 7 Ge 3.00-3.27
Ge 0.3525 0.3525 0.4469  3 Ir 2.51-2.74, 1 Ge 2.79
Ge 0.4797 0.4797 0.1155  1 Ir 2.58, 1 Ge 2.61
Ge 0.5203 0.5203 0.8845  1 Ir 2.58, 1 Ge 2.61
Ge 0.6475 0.6475 0.5531  3 Ir 2.51-2.74, 1 Ge 2.79
Ir 0.2716 0.2716 0.6648  4 Ge 2.51-2.74
Ir 0.7284 0.7284 0.3352  4 Ge 2.51-2.74

Values from the calculation:
Its space group is C2/m, No. 12.

***

# 2
The following is a PBE calculation of crystalline DyZn2GeIr4 at its relaxed geometry, from the Open Quantum Materials Database.

Lattice parameters (Å, degrees): 4.3419 4.3419 6.5902 90.00 90.00 90.00
Closest atoms and distances in Å follow each position.
Fractional positions:
Dy 0.0000 0.0000 0.0000  8 Ir 2.84, 4 Zn 3.07
Zn 0.0000 0.0000 0.5000  8 Ir 2.62
Zn 0.5000 0.5000 0.0000  8 Ir 2.84, 4 Dy 3.07
Ge 0.5000 0.5000 0.5000  8 Ir 2.62
Ir 0.0000 0.5000 0.2781  2 Ge 2.62, 4 Zn 2.62-2.84, 2 Dy 2.84, 1 Ir 2.93
Ir 0.0000 0.5000 0.7219  2 Ge 2.62, 4 Zn 2.62-2.84, 2 Dy 2.84, 1 Ir 2.93
Ir 0.5000 0.0000 0.2781  2 Ge 2.62, 4 Zn 2.62-2.84, 2 Dy 2.84, 1 Ir 2.93
Ir 0.5000 0.0000 0.7219  2 Ge 2.62, 4 Zn 2.62-2.84, 2 Dy 2.84, 1 Ir 2.93

Values from the calculation:
Its space group is P4/mmm, No. 123.

***

# 3
The following is a PBE calculation of crystalline KDyGe at its relaxed geometry, from the Open Quantum Materials Database.

Lattice parameters (Å, degrees): 7.3120 7.3120 7.3120 90.00 90.00 90.00
Closest atoms and distances in Å follow each position.
Fractional positions:
K 0.0000 0.0000 0.0000  4 Ge 3.17
K 0.0000 0.5000 0.5000  4 Ge 3.17
K 0.5000 0.0000 0.5000  4 Ge 3.17
K 0.5000 0.5000 0.0000  4 Ge 3.17
Dy 0.0000 0.0000 0.5000  4 Ge 3.17
Dy 0.0000 0.5000 0.0000  4 Ge 3.17
Dy 0.5000 0.0000 0.0000  4 Ge 3.17
Dy 0.5000 0.5000 0.5000  4 Ge 3.17
Ge 0.2500 0.2500 0.7500  4 Dy 3.17, 4 K 3.17
Ge 0.2500 0.7500 0.2500  4 Dy 3.17, 4 K 3.17
Ge 0.7500 0.2500 0.2500  4 Dy 3.17, 4 K 3.17
Ge 0.7500 0.7500 0.7500  4 Dy 3.17, 4 K 3.17

Values from the calculation:
Its space group is F-43m, No. 216.

***

# 4
The following is a PBE calculation of crystalline K2Dy2Ge2O7 at its relaxed geometry, from the Open Quantum Materials Database.

Lattice parameters (Å, degrees): 5.8546 5.8546 7.9016 90.00 90.00 120.00
Closest atoms and distances in Å follow each position.
Fractional positions:
K 0.3333 0.6667 0.0933  6 O 2.81-2.90
K 0.6667 0.3333 0.9067  6 O 2.81-2.90
Dy 0.3333 0.6667 0.6534  3 O 2.11
Dy 0.6667 0.3333 0.3466  3 O 2.11
Ge 0.0000 0.0000 0.2708  4 O 1.76-1.81
Ge 0.0000 0.0000 0.7292  4 O 1.76-1.81
O 0.0000 0.0000 0.5000  2 Ge 1.81
O 0.1198 0.3241 0.8008  1 Ge 1.76
O 0.2043 0.8802 0.8008  1 Ge 1.76
O 0.3241 0.2043 0.1992  1 Ge 1.76
O 0.6759 0.7957 0.8008  1 Ge 1.76
O 0.7957 0.1198 0.1992  1 Ge 1.76
O 0.8802 0.6759 0.1992  1 Ge 1.76

Values from the calculation:
Its space group is P-3, No. 147.

***

M_tot across the listed records, respectively: 0.00 0.00 0.00 1.08 μB per formula unit.
Ρ across the listed records, respectively: 9.36 15.17 4.66 4.68 Mg/m³.
Calculated total energy across the listed records, respectively: -67.6 -50.2 -41.4 -81.2 eV per cell.